(1)
VASP calculation (GGA-PBE) on a relaxed structure of PaAl5Pd.

Its total energy is -5.22 eV/atom. The density of states at the Fermi level comes out at 0.51 states/eV per atom. As for the calculated volume: 18.8 Å³ per atom.

Geometry as extended XYZ:
```
7
Lattice="-0.6441 2.4120 -3.5452 -0.9234 -3.5788 -2.2671 -6.7430 0.6735 1.6833" Properties=species:S:1:pos:R:3 pbc="T T T"
Al -2.4734 -1.5885 -0.6314
Pa 0.0000 0.0000 0.0000
Al -2.3338 1.4069 -1.2704
Al -0.7837 -0.5834 -2.9061
Al -5.0533 1.6785 -0.5915
Al -5.1929 -1.3169 0.0475
Pd -3.3715 0.3367 0.8416
```


(2)
VASP calculation (GGA-PBE) on a relaxed structure of PmDy6Y2.

The value obtained for the excess energy over the best structure of this formula in the dataset is 0.0 meV/atom. Its total energy is -5.01 eV/atom. The density of states at the Fermi level comes out at 1.31 states/eV per atom. As for the calculated volume: 31.9 Å³ per atom.

Geometry as extended XYZ:
```
9
Lattice="-0.2950 -3.4852 0.6480 5.5580 -1.9549 1.8157 -9.2677 6.4018 10.7250" Properties=species:S:1:pos:R:3 pbc="T T T"
Y -5.1945 1.4535 10.3974
Pm -2.0023 0.4808 6.5944
Dy -8.0130 3.5893 10.8219
Dy -2.0738 2.8005 9.3079
Y 1.1899 -0.4918 2.7914
Dy -4.8222 2.6183 7.0426
Dy 4.0084 -2.6277 2.3670
Dy -1.9309 -1.8388 3.8810
Dy 0.8175 -1.6567 6.1463
```


Repeat the second record exactly.
VASP calculation (GGA-PBE) on a relaxed structure of PmDy6Y2.

The value obtained for the excess energy over the best structure of this formula in the dataset is 0.0 meV/atom. Its total energy is -5.01 eV/atom. The density of states at the Fermi level comes out at 1.31 states/eV per atom. As for the calculated volume: 31.9 Å³ per atom.

Geometry as extended XYZ:
```
9
Lattice="-0.2950 -3.4852 0.6480 5.5580 -1.9549 1.8157 -9.2677 6.4018 10.7250" Properties=species:S:1:pos:R:3 pbc="T T T"
Y -5.1945 1.4535 10.3974
Pm -2.0023 0.4808 6.5944
Dy -8.0130 3.5893 10.8219
Dy -2.0738 2.8005 9.3079
Y 1.1899 -0.4918 2.7914
Dy -4.8222 2.6183 7.0426
Dy 4.0084 -2.6277 2.3670
Dy -1.9309 -1.8388 3.8810
Dy 0.8175 -1.6567 6.1463
```